## LiIn2S (GGA-PBE)

Data for a relaxed structure of LiIn2S.

Cell: 3.6753 3.6753 9.2884 Å, 78.59 78.59 60.00°
With the nearest neighbours (Å) after each atom.
Sites, in units of the cell vectors:
1 S 0.5000 0.5000 0.5000  6 In 2.79
2 Li 0.0000 0.0000 0.0000  2 In 2.70
3 In 0.0997 0.0997 0.7009  1 Li 2.70, 3 S 2.79
4 In 0.9003 0.9003 0.2991  1 Li 2.70, 3 S 2.79

Values from the calculation:
For the magnetic moment, the calculation gives 0.000 Bohr magnetons per cell. Its space group is R-3m (166). For the uncorrected energy, the calculation gives -12.3 eV for the cell shown. The density of states at the Fermi level comes out at 0.31 states/eV per atom. As for the uncorrected formation energy: -0.19 eV per atom.